The following is a DFT calculation (GGA+U) of crystalline Li4Co2OF7 at its relaxed geometry.

Structure (extended XYZ):
```
14
Lattice="-2.2181 -5.3881 -1.2116 5.8772 0.8030 0.3736 2.5318 0.9791 5.1778" Properties=species:S:1:pos:R:3 pbc="T T T"
F 1.9044 -2.7294 1.4104
F 5.9265 -1.6319 4.0188
F 2.9130 -0.1830 1.9924
F 5.8876 0.5279 2.1813
F 2.9453 -2.3206 3.8701
F 6.9412 0.9230 4.6293
F 4.2846 0.5023 4.3497
Li 0.3956 -3.7031 0.5993
Li 6.1847 -3.4916 4.2511
Li 3.2092 -1.4302 0.4381
Li 1.4848 -1.3050 2.8239
Co 3.3679 -3.5387 2.3881
Co 4.4297 -0.9560 2.9571
O 4.5279 -2.3315 1.7115
```

Summary:
Energy above the lowest structure with this stoichiometry = 107 meV per atom
Electronic total energy = -4.87 eV per atom
SG = P1